(1)
Material: Mg6AgAu3
Method: DFT, PBE
State: optimized geometry

Geometry as CIF:
```
data_Mg6AgAu3
_chemical_formula_sum 'Mg12 Ag2 Au6'
_cell_length_a 8.167
_cell_length_b 4.768
_cell_length_c 10.247
_cell_angle_alpha 90.00
_cell_angle_beta 109.52
_cell_angle_gamma 90.00
_space_group_name_H-M_alt 'P 1 21/m 1'
_space_group_IT_number 11
_space_group_name_Hall '-P 2yb'
loop_
_atom_site_label
_atom_site_fract_x
_atom_site_fract_y
_atom_site_fract_z
Mg1 0.038 0.250 0.418
Mg2 0.152 0.750 0.176
Mg3 0.243 0.250 0.999
Mg4 0.331 0.750 0.794
Mg5 0.354 0.250 0.321
Mg6 0.415 0.250 0.621
Ag1 0.456 0.750 0.091
Au1 0.024 0.750 0.874
Au2 0.126 0.250 0.711
Au3 0.284 0.750 0.476
```

Properties
* energy of formation: -433 meV per atom
* N(E_F): 0.329 states/eV/atom

(2)
Material: TbLuSe
Method: DFT, PBE
State: optimized geometry

Geometry as CIF:
```
data_TbLuSe
_chemical_formula_sum 'Tb1 Lu1 Se1'
_cell_length_a 3.8136
_cell_length_b 3.8136
_cell_length_c 6.4832
_cell_angle_alpha 90.00
_cell_angle_beta 90.00
_cell_angle_gamma 120.00
_space_group_name_H-M_alt 'P 3 m 1'
_space_group_IT_number 156
_space_group_name_Hall 'P 3 -2"'
loop_
_atom_site_label
_atom_site_fract_x
_atom_site_fract_y
_atom_site_fract_z
Tb1 0.0000 0.0000 0.0000
Lu1 0.3333 0.6667 0.5640
Se1 0.6667 0.3333 0.2890
```

Properties
* E_form (uncorrected): -1077 meV/atom
* N(E_F): 1.072 states/eV/atom

(3)
Material: Cd3Hg5
Method: DFT, PBE
State: optimized geometry

Geometry as CIF:
```
data_Cd3Hg5
_chemical_formula_sum 'Cd6 Hg10'
_cell_length_a 9.105
_cell_length_b 9.465
_cell_length_c 4.537
_cell_angle_alpha 90.00
_cell_angle_beta 90.00
_cell_angle_gamma 90.00
_space_group_name_H-M_alt 'C m m m'
_space_group_IT_number 65
_space_group_name_Hall '-C 2 2'
loop_
_atom_site_label
_atom_site_fract_x
_atom_site_fract_y
_atom_site_fract_z
Cd1 0.000 0.000 0.000
Cd2 0.000 0.265 0.500
Hg1 0.000 0.500 0.000
Hg2 0.233 0.000 0.500
Hg3 0.250 0.250 0.000
```

Properties
* energy of formation: 32 meV per atom
* N(E_F): 0.391 states/eV/atom

(4)
Material: PmInSnAu
Method: DFT, PBE
State: optimized geometry

Geometry as CIF:
```
data_PmInSnAu
_chemical_formula_sum 'Pm4 In4 Sn4 Au4'
_cell_length_a 7.370
_cell_length_b 7.370
_cell_length_c 7.370
_cell_angle_alpha 90.00
_cell_angle_beta 90.00
_cell_angle_gamma 90.00
_space_group_name_H-M_alt 'F -4 3 m'
_space_group_IT_number 216
_space_group_name_Hall 'F -4 2 3'
loop_
_atom_site_label
_atom_site_fract_x
_atom_site_fract_y
_atom_site_fract_z
Pm1 0.000 0.000 0.000
In1 0.000 0.000 0.500
Sn1 0.250 0.250 0.750
Au1 0.250 0.250 0.250
```

Properties
* energy of formation: -407 meV per atom
* N(E_F): 0.935 states/eV/atom

(5)
Material: KLi2Ir
Method: DFT, PBE
State: optimized geometry

Geometry as CIF:
```
data_KLi2Ir
_chemical_formula_sum 'K2 Li4 Ir2'
_cell_length_a 9.067
_cell_length_b 2.685
_cell_length_c 7.674
_cell_angle_alpha 90.00
_cell_angle_beta 92.23
_cell_angle_gamma 90.00
_space_group_name_H-M_alt 'C 1 m 1'
_space_group_IT_number 8
_space_group_name_Hall 'C -2y'
loop_
_atom_site_label
_atom_site_fract_x
_atom_site_fract_y
_atom_site_fract_z
K1 0.000 0.000 0.000
Li1 0.014 0.500 0.604
Li2 0.265 0.500 0.421
Ir1 0.252 0.000 0.705
```

Properties
* energy of formation: 229 meV per atom
* N(E_F): 0.411 states/eV/atom

(6)
Material: TlSn
Method: DFT, PBE
State: optimized geometry

Geometry as CIF:
```
data_TlSn
_chemical_formula_sum 'Tl2 Sn2'
_cell_length_a 5.983
_cell_length_b 3.483
_cell_length_c 5.628
_cell_angle_alpha 90.00
_cell_angle_beta 96.40
_cell_angle_gamma 90.00
_space_group_name_H-M_alt 'C 1 m 1'
_space_group_IT_number 8
_space_group_name_Hall 'C -2y'
loop_
_atom_site_label
_atom_site_fract_x
_atom_site_fract_y
_atom_site_fract_z
Tl1 0.000 0.000 0.000
Sn1 0.353 0.000 0.500
```

Properties
* energy of formation: 61 meV per atom
* N(E_F): 0.368 states/eV/atom

(7)
Material: PmCdPt
Method: DFT, PBE
State: optimized geometry

Geometry as CIF:
```
data_PmCdPt
_chemical_formula_sum 'Pm2 Cd2 Pt2'
_cell_length_a 4.177
_cell_length_b 4.177
_cell_length_c 7.968
_cell_angle_alpha 90.00
_cell_angle_beta 90.00
_cell_angle_gamma 90.00
_space_group_name_H-M_alt 'P 4/n m m'
_space_group_IT_number 129
loop_
_space_group_symop_operation_xyz
'x,y,z'
'-x,-y,-z'
'-y+1/2,x,z'
'y+1/2,-x,-z'
'-x+1/2,-y+1/2,z'
'x+1/2,y+1/2,-z'
'y,-x+1/2,z'
'-y,x+1/2,-z'
'x+1/2,-y,-z'
'-x+1/2,y,z'
'-y,-x,-z'
'y,x,z'
'-x,y+1/2,-z'
'x,-y+1/2,z'
'y+1/2,x+1/2,-z'
'-y+1/2,-x+1/2,z'
loop_
_atom_site_label
_atom_site_fract_x
_atom_site_fract_y
_atom_site_fract_z
Pm1 0.250 0.250 0.152
Cd1 0.250 0.750 0.500
Pt1 0.250 0.250 0.773
```

Properties
* energy of formation: -812 meV per atom
* N(E_F): 0.602 states/eV/atom

(8)
Material: PrNd3Cd
Method: DFT, PBE
State: optimized geometry

Geometry as CIF:
```
data_PrNd3Cd
_chemical_formula_sum 'Pr4 Nd12 Cd4'
_cell_length_a 8.820
_cell_length_b 14.859
_cell_length_c 5.379
_cell_angle_alpha 90.00
_cell_angle_beta 90.00
_cell_angle_gamma 90.00
_space_group_name_H-M_alt 'C m c m'
_space_group_IT_number 63
_space_group_name_Hall '-C 2c 2'
loop_
_atom_site_label
_atom_site_fract_x
_atom_site_fract_y
_atom_site_fract_z
Pr1 0.000 0.090 0.250
Nd1 0.000 0.445 0.750
Nd2 0.200 0.348 0.250
Cd1 0.000 0.245 0.750
```

Properties
* energy of formation: 60 meV per atom
* N(E_F): 0.944 states/eV/atom

(9)
Material: YCoSnPd
Method: DFT, PBE
State: optimized geometry

Geometry as CIF:
```
data_YCoSnPd
_chemical_formula_sum 'Y4 Co4 Sn4 Pd4'
_cell_length_a 6.659
_cell_length_b 6.659
_cell_length_c 6.659
_cell_angle_alpha 90.00
_cell_angle_beta 90.00
_cell_angle_gamma 90.00
_space_group_name_H-M_alt 'F -4 3 m'
_space_group_IT_number 216
_space_group_name_Hall 'F -4 2 3'
loop_
_atom_site_label
_atom_site_fract_x
_atom_site_fract_y
_atom_site_fract_z
Y1 0.000 0.000 0.000
Co1 0.250 0.250 0.250
Sn1 0.000 0.000 0.500
Pd1 0.250 0.250 0.750
```

Properties
* energy of formation: -496 meV per atom
* N(E_F): 0.763 states/eV/atom

(10)
Material: LaSc2Se2
Method: DFT, PBE
State: optimized geometry

Geometry as CIF:
```
data_LaSc2Se2
_chemical_formula_sum 'La2 Sc4 Se4'
_cell_length_a 4.089
_cell_length_b 4.089
_cell_length_c 13.853
_cell_angle_alpha 90.00
_cell_angle_beta 90.00
_cell_angle_gamma 90.00
_space_group_name_H-M_alt 'I 4/m m m'
_space_group_IT_number 139
_space_group_name_Hall '-I 4 2'
loop_
_atom_site_label
_atom_site_fract_x
_atom_site_fract_y
_atom_site_fract_z
La1 0.000 0.000 0.000
Sc1 0.000 0.500 0.250
Se1 0.000 0.000 0.386
```

Properties
* E_form (uncorrected): -1215 meV/atom
* N(E_F): 0.615 states/eV/atom

(11)
Material: Ba2Cd5Ag3
Method: DFT, PBE
State: optimized geometry

Geometry as CIF:
```
data_Ba2Cd5Ag3
_chemical_formula_sum 'Ba2 Cd5 Ag3'
_cell_length_a 4.716
_cell_length_b 4.716
_cell_length_c 12.543
_cell_angle_alpha 90.00
_cell_angle_beta 90.00
_cell_angle_gamma 90.00
_space_group_name_H-M_alt 'P -4 m 2'
_space_group_IT_number 115
_space_group_name_Hall 'P -4 -2'
loop_
_atom_site_label
_atom_site_fract_x
_atom_site_fract_y
_atom_site_fract_z
Ba1 0.000 0.500 0.233
Cd1 0.000 0.000 0.500
Cd2 0.000 0.500 0.645
Cd3 0.500 0.500 0.000
Cd4 0.500 0.500 0.500
Ag1 0.000 0.000 0.000
Ag2 0.000 0.500 0.870
```

Properties
* energy of formation: -229 meV per atom
* N(E_F): 0.594 states/eV/atom

(12)
Material: AcCe2RhO8
Method: DFT, PBE
State: optimized geometry

Geometry as CIF:
```
data_AcCe2RhO8
_chemical_formula_sum 'Ac1 Ce2 Rh1 O8'
_cell_length_a 4.628
_cell_length_b 5.299
_cell_length_c 7.196
_cell_angle_alpha 94.16
_cell_angle_beta 92.13
_cell_angle_gamma 91.16
_space_group_name_H-M_alt 'P -1'
_space_group_IT_number 2
_space_group_name_Hall '-P 1'
loop_
_atom_site_label
_atom_site_fract_x
_atom_site_fract_y
_atom_site_fract_z
Ac1 0.000 0.000 0.000
Ce1 0.465 0.466 0.740
Rh1 0.000 0.000 0.500
O1 0.096 0.741 0.281
O2 0.173 0.812 0.692
O3 0.334 0.254 0.478
O4 0.439 0.267 0.007
```

Properties
* E_form (uncorrected): -2428 meV/atom
* N(E_F): 0.384 states/eV/atom

(13)
Material: TaFe2Ni
Method: DFT, PBE
State: optimized geometry

Geometry as CIF:
```
data_TaFe2Ni
_chemical_formula_sum 'Ta2 Fe4 Ni2'
_cell_length_a 3.639
_cell_length_b 3.652
_cell_length_c 7.716
_cell_angle_alpha 90.00
_cell_angle_beta 90.00
_cell_angle_gamma 90.00
_space_group_name_H-M_alt 'I m m m'
_space_group_IT_number 71
_space_group_name_Hall '-I 2 2'
loop_
_atom_site_label
_atom_site_fract_x
_atom_site_fract_y
_atom_site_fract_z
Ta1 0.000 0.000 0.000
Fe1 0.000 0.500 0.250
Ni1 0.000 0.000 0.500
```

Properties
* energy of formation: -97 meV per atom
* N(E_F): 0.933 states/eV/atom